# 1
The following is a PBEsol calculation of crystalline BeRe2Mo at its relaxed geometry, from Alexandria via LeMat-Bulk.

Properties
Calculated total energy, eV per atom: -10.5046
Mass density, g/cm3: 14.58
Total moment, μB per cell: 0.0
Formation enthalpy at 0 K, meV/atom: 103

Unit cell a=3.0552 b=4.2641 c=8.3451 alpha=90.00 beta=90.00 gamma=90.00
Closest atoms and distances in Å follow each position.
Space group Immm (No. 71)
One atom of each set of equivalent atoms:
Be  0.0000  0.0000  0.0000 (multiplicity 2)  4 Re 2.58, 4 Mo 2.62
Re  0.0000  0.5000  0.2502 (multiplicity 4)  2 Be 2.58, 2 Mo 2.59, 4 Re 2.62
Mo  0.0000  0.0000  0.5000 (multiplicity 2)  4 Re 2.59, 4 Be 2.62

# 2
The following is a PBEsol calculation of crystalline SnH6CI3N at its relaxed geometry, from Alexandria via LeMat-Bulk.

Properties
Calculated total energy, eV per atom: -4.3440
Mass density, g/cm3: 3.83
Total moment, μB per cell: 0.0

Unit cell a=8.3027 b=12.3894 c=8.9585 alpha=90.00 beta=90.00 gamma=90.00
Closest atoms and distances in Å follow each position.
Space group Pnma (No. 62)
One atom of each set of equivalent atoms:
Sn  0.0000  0.0000  0.0000 (multiplicity 4)  6 I 3.11-3.12
H  0.0052  0.1820  0.3486 (multiplicity 8)  1 N 1.04
H  0.0091  0.1772  0.6192 (multiplicity 8)  1 C 1.10
H  0.1628  0.7500  0.4520 (multiplicity 4)  1 C 1.10
H  0.1678  0.2500  0.4148 (multiplicity 4)  1 N 1.05
C  0.0308  0.7500  0.4407 (multiplicity 4)  3 H 1.10
I  0.0343  0.7500  0.0172 (multiplicity 4)  1 H 2.64
I  0.1997  0.5224  0.7061 (multiplicity 8)  1 H 2.65
N  0.0421  0.2500  0.4084 (multiplicity 4)  3 H 1.04-1.05

# 3
The following is a PBEsol calculation of crystalline ZnIBr3 at its relaxed geometry, from Alexandria via LeMat-Bulk.

Properties
Calculated total energy, eV per atom: -1.9304
Mass density, g/cm3: 5.39
Uncorrected formation energy, meV/atom: -139
Total moment, μB per cell: 1.4

Unit cell a=5.1061 b=5.1061 c=5.1061 alpha=90.00 beta=90.00 gamma=90.00
Closest atoms and distances in Å follow each position.
Space group Pm-3m (No. 221)
One atom of each set of equivalent atoms:
Zn  0.0000  0.0000  0.0000 (multiplicity 1)  6 Br 2.55
I  0.5000  0.5000  0.5000 (multiplicity 1)  12 Br 3.61
Br  0.0000  0.0000  0.5000 (multiplicity 3)  2 Zn 2.55

# 4
The following is a PBEsol calculation of crystalline LiFeP2HO7 at its relaxed geometry, from Alexandria via LeMat-Bulk.

Properties
Calculated total energy, eV per atom: -7.1025
Mass density, g/cm3: 3.02
Total moment, μB per cell: 8.0

Unit cell a=5.7697 b=7.0050 c=7.0541 alpha=100.10 beta=110.09 gamma=92.85
Closest atoms and distances in Å follow each position.
Space group P-1 (No. 2)
One atom of each set of equivalent atoms:
Li  0.1357  0.1198  0.1639 (multiplicity 2)  4 O 1.90-1.97
Fe  0.3687  0.3424  0.9304 (multiplicity 2)  5 O 2.02-2.12
P  0.1788  0.6922  0.2352 (multiplicity 2)  4 O 1.51-1.59
P  0.3092  0.8726  0.6873 (multiplicity 2)  4 O 1.50-1.61
H  0.0580  0.6189  0.7073 (multiplicity 2)  1 O 1.07
O  0.0439  0.4392  0.7631 (multiplicity 2)  1 H 1.39, 1 P 1.55
O  0.0612  0.7640  0.6794 (multiplicity 2)  1 H 1.07
O  0.0827  0.8426  0.1072 (multiplicity 2)  1 P 1.51
O  0.2973  0.0879  0.7130 (multiplicity 2)  1 P 1.50
O  0.3360  0.7963  0.4681 (multiplicity 2)  2 P 1.59-1.61
O  0.3633  0.5698  0.1701 (multiplicity 2)  1 P 1.54
O  0.4652  0.1926  0.1606 (multiplicity 2)  1 P 1.52

# 5
The following is a PBEsol calculation of crystalline ZrReBr2 at its relaxed geometry, from Alexandria via LeMat-Bulk.

Properties
Calculated total energy, eV per atom: -5.9270
Mass density, g/cm3: 9.82
Uncorrected formation energy, meV/atom: 613
Excess energy over the best structure of this formula in the dataset, meV/atom: 690
Total moment, μB per cell: 0.0

Unit cell a=4.1004 b=4.1004 c=8.7927 alpha=90.00 beta=90.00 gamma=90.00
Closest atoms and distances in Å follow each position.
Space group I-4m2 (No. 119)
One atom of each set of equivalent atoms:
Zr  0.0000  0.0000  0.0000 (multiplicity 2)  8 Br 2.90-3.01, 4 Re 3.01
Re  0.0000  0.5000  0.7500 (multiplicity 2)  8 Br 2.90-3.01, 4 Zr 3.01
Br  0.0000  0.0000  0.5000 (multiplicity 2)  4 Zr 2.90, 4 Br 3.01, 4 Re 3.01
Br  0.0000  0.5000  0.2500 (multiplicity 2)  4 Re 2.90, 4 Zr 3.01, 4 Br 3.01

# 6
The following is a PBEsol calculation of crystalline AgW2Br6O2 at its relaxed geometry, from Alexandria via LeMat-Bulk.

Properties
Calculated total energy, eV per atom: -5.5788
Mass density, g/cm3: 6.05
Uncorrected formation energy, meV/atom: -793
Total moment, μB per cell: 5.5

Unit cell a=13.5048 b=3.7799 c=11.4644 alpha=90.00 beta=112.25 gamma=90.00
Closest atoms and distances in Å follow each position.
Space group Cm (No. 8)
One atom of each set of equivalent atoms:
Ag  0.0000  0.0000  0.0000 (multiplicity 2)  4 Br 2.64-2.90
W  0.1761  0.0000  0.3499 (multiplicity 2)  2 O 1.89
W  0.3650  0.0000  0.6953 (multiplicity 2)  2 O 1.89
Br  0.0620  0.5000  0.8127 (multiplicity 2)  1 W 2.48
Br  0.1594  0.0000  0.5684 (multiplicity 2)  2 W 2.60
Br  0.2053  0.0000  0.1464 (multiplicity 2)  1 W 2.51, 1 Ag 2.64
Br  0.3404  0.0000  0.9047 (multiplicity 2)  1 W 2.54, 2 Ag 2.76
Br  0.3823  0.0000  0.4789 (multiplicity 2)  2 W 2.58-2.61
Br  0.4788  0.5000  0.2420 (multiplicity 2)  1 W 2.48
O  0.1796  0.5000  0.3544 (multiplicity 2)  2 W 1.89
O  0.3615  0.5000  0.6922 (multiplicity 2)  2 W 1.89

# 7
The following is a PBEsol calculation of crystalline BePdO2F at its relaxed geometry, from Alexandria via LeMat-Bulk.

Properties
Calculated total energy, eV per atom: -5.4727
Mass density, g/cm3: 6.58
Uncorrected formation energy, meV/atom: -996
Total moment, μB per cell: 0.0

Unit cell a=3.6730 b=3.6730 c=3.1126 alpha=90.00 beta=90.00 gamma=90.00
Closest atoms and distances in Å follow each position.
Space group P4/mmm (No. 123)
One atom of each set of equivalent atoms:
Be  0.0000  0.0000  0.0000 (multiplicity 1)  2 F 1.56
Pd  0.5000  0.5000  0.5000 (multiplicity 1)  8 O 2.41, 4 F 2.60
O  0.0000  0.5000  0.0000 (multiplicity 2)  2 Be 1.84
F  0.0000  0.0000  0.5000 (multiplicity 1)  2 Be 1.56

# 8
The following is a PBEsol calculation of crystalline ZnCd3 at its relaxed geometry, from Alexandria via LeMat-Bulk.

Properties
Calculated total energy, eV per atom: -1.2289
Mass density, g/cm3: 8.64
Total moment, μB per cell: 0.0
Formation enthalpy at 0 K, meV/atom: 64

Unit cell a=4.2622 b=4.2622 c=4.2622 alpha=90.00 beta=90.00 gamma=90.00
Closest atoms and distances in Å follow each position.
Space group Pm-3m (No. 221)
One atom of each set of equivalent atoms:
Zn  0.0000  0.0000  0.0000 (multiplicity 1)  12 Cd 3.01
Cd  0.0000  0.5000  0.5000 (multiplicity 3)  8 Cd 3.01, 4 Zn 3.01

# 9
The following is a PBEsol calculation of crystalline In2AuSe at its relaxed geometry, from Alexandria via LeMat-Bulk.

Properties
Calculated total energy, eV per atom: -3.5344
Mass density, g/cm3: 9.53
Uncorrected formation energy, meV/atom: -99
Total moment, μB per cell: 0.0

Unit cell a=6.6684 b=7.5476 c=3.5987 alpha=90.00 beta=103.38 gamma=90.00
Closest atoms and distances in Å follow each position.
Space group C2/m (No. 12)
One atom of each set of equivalent atoms:
In  0.2500  0.2500  0.0000 (multiplicity 4)  2 Se 2.86, 2 Au 2.86
Au  0.0000  0.0000  0.5000 (multiplicity 2)  4 In 2.86
Se  0.0000  0.5000  0.5000 (multiplicity 2)  4 In 2.86

# 10
The following is a PBEsol calculation of crystalline KSc2ZnN at its relaxed geometry, from Alexandria via LeMat-Bulk.

Properties
Calculated total energy, eV per atom: -2.4814
Mass density, g/cm3: 3.12
Uncorrected formation energy, meV/atom: 2409
Total moment, μB per cell: 1.9

Unit cell a=4.8706 b=4.8706 c=4.6750 alpha=90.00 beta=90.00 gamma=90.00
Closest atoms and distances in Å follow each position.
Space group P4/mmm (No. 123)
One atom of each set of equivalent atoms:
K  0.0000  0.0000  0.0000 (multiplicity 1)  2 Zn 2.34, 4 Sc 2.44
Sc  0.0000  0.5000  0.0000 (multiplicity 2)  2 K 2.44
Zn  0.0000  0.0000  0.5000 (multiplicity 1)  2 K 2.34
N  0.5000  0.5000  0.5000 (multiplicity 1)  8 Sc 3.38, 4 Zn 3.44

# 11
The following is a PBEsol calculation of crystalline KMoP2 at its relaxed geometry, from Alexandria via LeMat-Bulk.

Properties
Calculated total energy, eV per atom: -6.3685
Mass density, g/cm3: 4.10
Excess energy over the best structure of this formula in the dataset, meV/atom: 0
Total moment, μB per cell: 0.0
Formation enthalpy at 0 K, meV/atom: -247

Unit cell a=3.0630 b=3.3866 c=15.3732 alpha=90.00 beta=90.00 gamma=90.00
Closest atoms and distances in Å follow each position.
Space group Imm2 (No. 44)
One atom of each set of equivalent atoms:
K  0.0000  0.0000  0.0000 (multiplicity 2)  4 K 3.06-3.39, 6 P 3.16-3.21
Mo  0.0000  0.5000  0.7413 (multiplicity 2)  6 P 2.36-2.49
P  0.0000  0.0000  0.3583 (multiplicity 2)  2 Mo 2.36
P  0.0000  0.5000  0.1771 (multiplicity 2)  4 Mo 2.49

# 12
The following is a PBEsol calculation of crystalline V2CoH8O10 at its relaxed geometry, from Alexandria via LeMat-Bulk.

Properties
Calculated total energy, eV per atom: -6.4819
Mass density, g/cm3: 2.73
Total moment, μB per cell: 4.1

Unit cell a=13.3176 b=9.3441 c=6.8881 alpha=90.00 beta=111.26 gamma=90.00
Closest atoms and distances in Å follow each position.
Space group C2/c (No. 15)
One atom of each set of equivalent atoms:
V  0.1026  0.0210  0.1947 (multiplicity 8)  3 O 1.67-1.86
Co  0.2500  0.2500  0.0000 (multiplicity 4)  4 O 1.82-1.91
H  0.1068  0.3560  0.7055 (multiplicity 8)  1 O 1.00
H  0.1341  0.4672  0.9010 (multiplicity 8)  1 O 1.03
H  0.1387  0.3036  0.3612 (multiplicity 8)  1 O 1.00
H  0.2160  0.3581  0.5834 (multiplicity 8)  1 O 1.00
O  0.0570  0.0481  0.4225 (multiplicity 8)  3 V 1.86-2.00
O  0.1239  0.3610  0.8587 (multiplicity 8)  2 H 1.00-1.03
O  0.1427  0.3732  0.4733 (multiplicity 8)  2 H 1.00
O  0.1727  0.1720  0.1981 (multiplicity 8)  1 V 1.69, 2 H 1.71-1.83
O  0.1930  0.1044  0.8176 (multiplicity 8)  1 V 1.67, 1 Co 1.82